Material: ZrInTe3
Method: DFT, PBE
State: optimized geometry

Calculated values
- energy relative to the elements, uncorrected (kJ/mol of atoms) = -53.02
- E (eV/cell) = -46.92
- energy relative to the lowest polymorph listed for this composition (meV/atom) = 0.0
- V (Å³ per cell) = 318.06

Lattice parameters (Å, degrees): 7.9362 4.1181 10.2218 90.00 107.81 90.00
Closest atoms and distances in Å follow each position.
Space group P2_1/m (No. 11)
One atom of each set of equivalent atoms:
1 Zr 0.1227 0.2500 0.1654 (multiplicity 2)  6 Te 2.88-3.10
2 In 0.2970 0.2500 0.4980 (multiplicity 2)  5 Te 2.92-3.18, 1 Zr 3.26
3 Te 0.0080 0.7500 0.3260 (multiplicity 2)  2 Zr 2.95, 2 In 3.18
4 Te 0.2402 0.7500 0.0083 (multiplicity 2)  3 Zr 2.88-2.93
5 Te 0.4703 0.7500 0.6967 (multiplicity 2)  3 In 2.92-3.10, 1 Zr 3.10